(1)
VASP calculation (PBE) on a relaxed structure of CeEu2Hg.

CIF file:
```
data_CeEu2Hg
_space_group_name_H-M_alt 'P 1'
_space_group_IT_number 1
_space_group_name_Hall 'P 1'
_cell_length_a 4.812
_cell_length_b 5.100
_cell_length_c 5.100
_cell_angle_alpha 90.00
_cell_angle_beta 90.00
_cell_angle_gamma 90.00
loop_
_atom_site_label
_atom_site_type_symbol
_atom_site_fract_x
_atom_site_fract_y
_atom_site_fract_z
_atom_site_occupancy
Eu1 Eu 0.000 0.500 0.000 1
Hg1 Hg 0.500 0.000 0.000 1
Eu2 Eu 0.000 0.000 0.500 1
Ce1 Ce 0.500 0.500 0.500 1
```

Summary:
Energy: -6.761 eV/atom
Symmetry: P4/mmm (123)
Excess energy over the best structure of this formula in the dataset: 64 meV/atom
Formation energy: -25 kJ/mol of formula units
Total moment: 4.168 μB/atom
Crystal system: tetragonal


(2)
VASP calculation (PBE) on a relaxed structure of CeEuHgIr.

CIF file:
```
data_CeEuHgIr
_space_group_name_H-M_alt 'P 1'
_space_group_IT_number 1
_space_group_name_Hall 'P 1'
_cell_length_a 5.169
_cell_length_b 5.169
_cell_length_c 5.169
_cell_angle_alpha 60.00
_cell_angle_beta 60.00
_cell_angle_gamma 60.00
loop_
_atom_site_label
_atom_site_type_symbol
_atom_site_fract_x
_atom_site_fract_y
_atom_site_fract_z
_atom_site_occupancy
Hg1 Hg 0.000 0.000 0.000 1
Eu1 Eu 0.250 0.250 0.250 1
Ir1 Ir 0.500 0.500 0.500 1
Ce1 Ce 0.750 0.750 0.750 1
```

Summary:
Energy: -6.730 eV/atom
Symmetry: F-43m (216)
Formation energy: -150 kJ/mol of formula units
Total moment: 1.857 μB/atom
Crystal system: cubic


(3)
VASP calculation (PBE) on a relaxed structure of LiCeEuHg.

CIF file:
```
data_LiCeEuHg
_space_group_name_H-M_alt 'P 1'
_space_group_IT_number 1
_space_group_name_Hall 'P 1'
_cell_length_a 5.448
_cell_length_b 5.448
_cell_length_c 5.448
_cell_angle_alpha 60.00
_cell_angle_beta 60.00
_cell_angle_gamma 60.00
loop_
_atom_site_label
_atom_site_type_symbol
_atom_site_fract_x
_atom_site_fract_y
_atom_site_fract_z
_atom_site_occupancy
Li1 Li 0.000 0.000 0.000 1
Eu1 Eu 0.750 0.750 0.750 1
Hg1 Hg 0.500 0.500 0.500 1
Ce1 Ce 0.250 0.250 0.250 1
```

Summary:
Energy: -4.710 eV/atom
Symmetry: F-43m (216)
Formation energy: -40 kJ/mol of formula units
Total moment: 2.066 μB/atom
Crystal system: cubic


(4)
VASP calculation (PBE) on a relaxed structure of CeEuMgHg.

CIF file:
```
data_CeEuMgHg
_space_group_name_H-M_alt 'P 1'
_space_group_IT_number 1
_space_group_name_Hall 'P 1'
_cell_length_a 5.497
_cell_length_b 5.497
_cell_length_c 5.497
_cell_angle_alpha 60.00
_cell_angle_beta 60.00
_cell_angle_gamma 60.00
loop_
_atom_site_label
_atom_site_type_symbol
_atom_site_fract_x
_atom_site_fract_y
_atom_site_fract_z
_atom_site_occupancy
Eu1 Eu 0.000 0.000 0.000 1
Hg1 Hg 0.750 0.750 0.750 1
Ce1 Ce 0.500 0.500 0.500 1
Mg1 Mg 0.250 0.250 0.250 1
```

Summary:
Energy: -4.683 eV/atom
Symmetry: F-43m (216)
Formation energy: -60 kJ/mol of formula units
Total moment: 2.036 μB/atom
Crystal system: cubic


(5)
VASP calculation (PBE) on a relaxed structure of CeNdEuHg.

CIF file:
```
data_CeNdEuHg
_space_group_name_H-M_alt 'P 1'
_space_group_IT_number 1
_space_group_name_Hall 'P 1'
_cell_length_a 5.519
_cell_length_b 5.519
_cell_length_c 5.519
_cell_angle_alpha 60.00
_cell_angle_beta 60.00
_cell_angle_gamma 60.00
loop_
_atom_site_label
_atom_site_type_symbol
_atom_site_fract_x
_atom_site_fract_y
_atom_site_fract_z
_atom_site_occupancy
Ce1 Ce 0.750 0.750 0.750 1
Eu1 Eu 0.500 0.500 0.500 1
Hg1 Hg 0.000 0.000 0.000 1
Nd1 Nd 0.250 0.250 0.250 1
```

Summary:
Energy: -5.336 eV/atom
Symmetry: F-43m (216)
Formation energy: -6 kJ/mol of formula units
Total moment: 2.352 μB/atom
Crystal system: cubic


(6)
VASP calculation (PBE) on a relaxed structure of CeEuHgPb.

CIF file:
```
data_CeEuHgPb
_space_group_name_H-M_alt 'P 1'
_space_group_IT_number 1
_space_group_name_Hall 'P 1'
_cell_length_a 5.555
_cell_length_b 5.555
_cell_length_c 5.555
_cell_angle_alpha 60.00
_cell_angle_beta 60.00
_cell_angle_gamma 60.00
loop_
_atom_site_label
_atom_site_type_symbol
_atom_site_fract_x
_atom_site_fract_y
_atom_site_fract_z
_atom_site_occupancy
Ce1 Ce 0.500 0.500 0.500 1
Pb1 Pb 0.250 0.250 0.250 1
Hg1 Hg 0.750 0.750 0.750 1
Eu1 Eu 0.000 0.000 0.000 1
```

Summary:
Energy: -5.498 eV/atom
Symmetry: F-43m (216)
Formation energy: -171 kJ/mol of formula units
Total moment: 2.222 μB/atom
Crystal system: cubic


Repeat the first record exactly.
VASP calculation (PBE) on a relaxed structure of CeEu2Hg.

CIF file:
```
data_CeEu2Hg
_space_group_name_H-M_alt 'P 1'
_space_group_IT_number 1
_space_group_name_Hall 'P 1'
_cell_length_a 4.812
_cell_length_b 5.100
_cell_length_c 5.100
_cell_angle_alpha 90.00
_cell_angle_beta 90.00
_cell_angle_gamma 90.00
loop_
_atom_site_label
_atom_site_type_symbol
_atom_site_fract_x
_atom_site_fract_y
_atom_site_fract_z
_atom_site_occupancy
Eu1 Eu 0.000 0.500 0.000 1
Hg1 Hg 0.500 0.000 0.000 1
Eu2 Eu 0.000 0.000 0.500 1
Ce1 Ce 0.500 0.500 0.500 1
```

Summary:
Energy: -6.761 eV/atom
Symmetry: P4/mmm (123)
Excess energy over the best structure of this formula in the dataset: 64 meV/atom
Formation energy: -25 kJ/mol of formula units
Total moment: 4.168 μB/atom
Crystal system: tetragonal


What is the energy in the fourth record?
-4.683 eV/atom


What is the formula in the third record?
LiCeEuHg


Repeat the fourth record exactly.
VASP calculation (PBE) on a relaxed structure of CeEuMgHg.

CIF file:
```
data_CeEuMgHg
_space_group_name_H-M_alt 'P 1'
_space_group_IT_number 1
_space_group_name_Hall 'P 1'
_cell_length_a 5.497
_cell_length_b 5.497
_cell_length_c 5.497
_cell_angle_alpha 60.00
_cell_angle_beta 60.00
_cell_angle_gamma 60.00
loop_
_atom_site_label
_atom_site_type_symbol
_atom_site_fract_x
_atom_site_fract_y
_atom_site_fract_z
_atom_site_occupancy
Eu1 Eu 0.000 0.000 0.000 1
Hg1 Hg 0.750 0.750 0.750 1
Ce1 Ce 0.500 0.500 0.500 1
Mg1 Mg 0.250 0.250 0.250 1
```

Summary:
Energy: -4.683 eV/atom
Symmetry: F-43m (216)
Formation energy: -60 kJ/mol of formula units
Total moment: 2.036 μB/atom
Crystal system: cubic